(1)
The following is a DFT calculation (GGA-PBE) of Li2Sc2AlInPt2 after structural relaxation.

As for the mass density: 7.9 g cm⁻³. The calculation puts the total energy at -41.8 eV/cell.

Structure (CIF):
```
data_Li2Sc2AlInPt2
_space_group_name_H-M_alt 'P -4 m 2'
_space_group_IT_number 115
_space_group_name_Hall 'P -4 -2'
_cell_length_a 4.542
_cell_length_b 4.542
_cell_length_c 6.488
_cell_angle_alpha 90.00
_cell_angle_beta 90.00
_cell_angle_gamma 90.00
loop_
_atom_site_label
_atom_site_fract_x
_atom_site_fract_y
_atom_site_fract_z
Li1 0.000 0.500 0.239
Sc1 0.000 0.000 0.000
Sc2 0.500 0.500 0.500
Al1 0.500 0.500 0.000
In1 0.000 0.000 0.500
Pt1 0.000 0.500 0.769
```

***

(2)
The following is a DFT calculation (GGA-PBE) of Li4Al2ZnIn after structural relaxation.

As for the mass density: 3.4 g cm⁻³. The calculation puts the total energy at -21.0 eV/cell.

Structure (CIF):
```
data_Li4Al2ZnIn
_space_group_name_H-M_alt 'P -4 m 2'
_space_group_IT_number 115
_space_group_name_Hall 'P -4 -2'
_cell_length_a 4.474
_cell_length_b 4.474
_cell_length_c 6.353
_cell_angle_alpha 90.00
_cell_angle_beta 90.00
_cell_angle_gamma 90.00
loop_
_atom_site_label
_atom_site_fract_x
_atom_site_fract_y
_atom_site_fract_z
Li1 0.000 0.000 0.000
Li2 0.000 0.500 0.734
Li3 0.500 0.500 0.500
Al1 0.000 0.500 0.268
Zn1 0.000 0.000 0.500
In1 0.500 0.500 0.000
```

***

(3)
The following is a DFT calculation (GGA-PBE) of Li4AlZnIn2 after structural relaxation.

As for the mass density: 4.3 g cm⁻³. The calculation puts the total energy at -20.2 eV/cell.

Structure (CIF):
```
data_Li4AlZnIn2
_space_group_name_H-M_alt 'P -4 m 2'
_space_group_IT_number 115
_space_group_name_Hall 'P -4 -2'
_cell_length_a 4.569
_cell_length_b 4.569
_cell_length_c 6.465
_cell_angle_alpha 90.00
_cell_angle_beta 90.00
_cell_angle_gamma 90.00
loop_
_atom_site_label
_atom_site_fract_x
_atom_site_fract_y
_atom_site_fract_z
Li1 0.000 0.000 0.000
Li2 0.000 0.500 0.740
Li3 0.500 0.500 0.500
Al1 0.500 0.500 0.000
Zn1 0.000 0.000 0.500
In1 0.000 0.500 0.255
```